Entry from Alexandria: a relaxed structure of AlPtBr (PBE-GGA).

Computed properties:
**ΔE to the lowest computed polymorph**: 0 meV per atom
**DOS(E_F)**: 0.58 states/eV/cell
**Uncorrected energy**: -4.53 eV/atom
**Formation energy (no corrections)**: -0.71 eV per atom
**Crystal system**: monoclinic

Lattice parameters (Å, degrees): 3.799 4.142 9.401 90.00 90.48 90.00
Fractional positions:
Br 0.243 0.250 0.663
Br 0.757 0.750 0.337
Pt 0.753 0.250 0.157
Pt 0.247 0.750 0.843
Al 0.250 0.250 0.986
Al 0.750 0.750 0.014

Entry from Alexandria: a relaxed structure of KNa2Hg10 (PBE-GGA).

Computed properties:
**DOS(E_F)**: 4.80 states/eV/cell
**Uncorrected energy**: -0.67 eV/atom
**Crystal system**: orthorhombic
**ΔE_f**: -2.0 eV per formula unit

Lattice parameters (Å, degrees): 6.669 8.616 7.803 80.48 64.70 67.23
Fractional positions:
K 0.000 0.000 0.000
Na 0.000 0.500 0.000
Na 0.500 0.500 0.000
Hg 0.347 0.651 0.656
Hg 0.653 0.349 0.344
Hg 0.998 0.349 0.656
Hg 0.002 0.651 0.344
Hg 0.000 0.000 0.500
Hg 0.500 0.000 0.500
Hg 0.279 0.223 0.220
Hg 0.721 0.777 0.780
Hg 0.502 0.777 0.220
Hg 0.498 0.223 0.780

Entry from Alexandria: a relaxed structure of Pr2ErGe (PBE-GGA).

Computed properties:
**ΔE to the lowest computed polymorph**: 339 meV per atom
**DOS(E_F)**: 6.46 states/eV/cell
**Uncorrected energy**: -4.66 eV/atom
**Crystal system**: trigonal
**ΔE_f**: 0.1 eV per formula unit

Lattice parameters (Å, degrees): 3.698 3.698 11.293 80.58 80.58 60.00
Fractional positions:
Pr 0.104 0.104 0.689
Pr 0.896 0.896 0.311
Ge 0.500 0.500 0.500
Er 0.000 0.000 0.000

Entry from Alexandria: a relaxed structure of Th2AlCu3 (PBE-GGA).

Computed properties:
**ΔE to the lowest computed polymorph**: 27 meV per atom
**DOS(E_F)**: 5.63 states/eV/cell
**Uncorrected energy**: -5.35 eV/atom
**Crystal system**: orthorhombic
**ΔE_f**: -1.2 eV per formula unit

Lattice parameters (Å, degrees): 3.676 4.315 8.322 105.03 102.76 90.00
Fractional positions:
Th 0.129 0.129 0.258
Th 0.870 0.370 0.741
Al 0.462 0.962 0.925
Cu 0.700 0.700 0.399
Cu 0.539 0.539 0.079
Cu 0.299 0.799 0.599